First-principles (GGA-PBE) data for K2BaW after structural relaxation, as listed in Alexandria.

Summary:
Relative energy among the computed polymorphs ... 185 meV per atom
Symmetry ... P2/m (10)
Formation energy ... 1.432 eV/atom
Size of the total moment ... 3.75 μB/cell

Cell and atoms, written as POSCAR:
```
K2BaW
1.0
-4.291 -5.054 -1.562
1.562 -2.254 3.001
-3.974 2.071 4.216
Ba K W
1 2 1
Direct
0.500 0.750 0.750
0.000 0.022 0.026
0.000 0.478 0.474
0.500 0.250 0.250
```